{"formula": "Co3SiH", "functional": "GGA-PBE", "state": "relaxed", "cell": [[5.0408, -0.0085, 0.0045], [2.4302, 4.3090, -0.0389], [0.3340, -2.8204, 4.1589]], "species": ["Si", "Si", "Co", "Co", "Co", "Co", "Co", "Co", "H", "H"], "frac_coords": [[0.6519, 0.1278, 0.8811], [0.1089, 0.2210, 0.4285], [0.1825, 0.5687, 0.8609], [0.1317, 0.6743, 0.4033], [0.6878, 0.1675, 0.3485], [0.5783, 0.7803, 0.4487], [0.0729, 0.1815, 0.9611], [0.6290, 0.6748, 0.9064], [0.3804, 0.6745, 0.6548], [0.3798, 0.6742, 0.1540]], "volume_a3_per_cell": 89.8, "e_above_lowest_polymorph_ev_per_atom": 0.094, "energy_ev_per_atom": -6.206}